[1]
! YScTcHg (PBE, optimized geometry); values from VASP
&SYSTEM
  ibrav = 0, nat = 4, ntyp = 4
/
ATOMIC_SPECIES
Y 88.91 Y.upf
Sc 44.96 Sc.upf
Tc 98.00 Tc.upf
Hg 200.59 Hg.upf
CELL_PARAMETERS angstrom
0.000 3.472 3.472
3.472 0.000 3.472
3.472 3.472 0.000
ATOMIC_POSITIONS angstrom
Y 0.000 0.000 0.000
Sc 3.472 3.472 3.472
Tc 1.736 1.736 1.736
Hg 5.209 5.209 5.209
! **M_tot**: 0.000 μB per atom
! **Calculated formation energy**: -0.177 eV/atom

[2]
! IrAu3 (PBE, optimized geometry); values from VASP
&SYSTEM
  ibrav = 0, nat = 8, ntyp = 2
/
ATOMIC_SPECIES
Ir 192.22 Ir.upf
Au 196.97 Au.upf
CELL_PARAMETERS angstrom
5.212 0.000 0.000
0.000 5.212 0.000
0.000 0.000 5.212
ATOMIC_POSITIONS angstrom
Ir 0.000 0.000 0.000
Ir 2.606 2.606 2.606
Au 0.000 1.303 2.606
Au 0.000 3.909 2.606
Au 1.303 2.606 0.000
Au 2.606 0.000 1.303
Au 2.606 0.000 3.909
Au 3.909 2.606 0.000
! **M_tot**: 0.075 μB per atom
! **Calculated formation energy**: 0.522 eV/atom

[3]
! MgGa2 (PBE, optimized geometry); values from VASP
&SYSTEM
  ibrav = 0, nat = 6, ntyp = 2
/
ATOMIC_SPECIES
Mg 24.30 Mg.upf
Ga 69.72 Ga.upf
CELL_PARAMETERS angstrom
5.081 0.000 0.000
-2.541 4.400 0.000
0.000 0.000 5.207
ATOMIC_POSITIONS angstrom
Mg 0.000 2.934 0.000
Mg 2.541 1.467 0.000
Ga 0.000 0.000 0.000
Ga -1.711 2.964 2.604
Ga 0.829 1.436 2.604
Ga 3.423 0.000 2.604
! **M_tot**: 0.000 μB per atom
! **Calculated formation energy**: -0.070 eV/atom

[4]
! Sr2LiTe (PBE, optimized geometry); values from VASP
&SYSTEM
  ibrav = 0, nat = 8, ntyp = 3
/
ATOMIC_SPECIES
Sr 87.62 Sr.upf
Li 6.94 Li.upf
Te 127.60 Te.upf
CELL_PARAMETERS angstrom
-4.490 4.490 4.200
4.490 -4.490 4.200
4.490 4.490 -4.200
ATOMIC_POSITIONS angstrom
Sr 6.735 2.058 -1.050
Sr 2.058 2.245 1.050
Sr -2.245 2.433 3.150
Sr 2.433 2.245 5.250
Li 4.490 0.000 2.100
Li 0.000 0.000 4.200
Te 0.000 0.000 0.000
Te 0.000 4.490 2.100
! **M_tot**: 0.000 μB per atom
! **Raw formation energy**: -0.527 eV per atom

[5]
! Rb2BaPS4 (PBE, optimized geometry); values from VASP
&SYSTEM
  ibrav = 0, nat = 8, ntyp = 4
/
ATOMIC_SPECIES
Rb 85.47 Rb.upf
Ba 137.33 Ba.upf
P 30.97 P.upf
S 32.06 S.upf
CELL_PARAMETERS angstrom
-3.929 3.929 4.443
3.929 -3.929 4.443
3.929 3.929 -4.443
ATOMIC_POSITIONS angstrom
Rb 0.000 0.000 0.000
Rb 0.000 3.929 2.221
Ba 0.000 0.000 4.443
P 3.929 0.000 2.221
S 1.360 2.702 -1.056
S 5.155 1.360 1.056
S 2.568 1.226 3.386
S -1.226 2.568 5.499
! **M_tot**: 0.000 μB per atom
! **Raw formation energy**: -0.936 eV per atom

[6]
! LiTeW2 (PBE, optimized geometry); values from VASP
&SYSTEM
  ibrav = 0, nat = 4, ntyp = 3
/
ATOMIC_SPECIES
Li 6.94 Li.upf
Te 127.60 Te.upf
W 183.84 W.upf
CELL_PARAMETERS angstrom
3.441 0.000 0.000
0.000 3.276 0.000
-1.675 0.000 6.449
ATOMIC_POSITIONS angstrom
Li 0.000 0.000 0.000
Te 0.050 1.638 5.117
W -0.003 0.000 2.803
W 1.711 1.638 1.589
! **M_tot**: 0.000 μB per atom
! **Raw formation energy**: 0.340 eV per atom

[7]
! Na2Ag3Cl8 (PBE, optimized geometry); values from VASP
&SYSTEM
  ibrav = 0, nat = 13, ntyp = 3
/
ATOMIC_SPECIES
Na 22.99 Na.upf
Ag 107.87 Ag.upf
Cl 35.45 Cl.upf
CELL_PARAMETERS angstrom
6.657 -3.659 0.000
6.657 3.659 0.000
-1.914 0.000 7.192
ATOMIC_POSITIONS angstrom
Na 2.764 0.000 1.211
Na 8.636 0.000 5.981
Ag 5.700 1.856 3.596
Ag 6.657 0.000 0.000
Ag 5.700 -1.856 3.596
Cl 0.776 0.000 3.385
Cl 5.021 1.700 0.542
Cl 4.004 0.000 3.856
Cl 6.379 1.700 6.650
Cl 5.021 -1.700 0.542
Cl 7.396 0.000 3.336
Cl 6.379 -1.700 6.650
Cl 10.624 0.000 3.807
! **Energy above the most stable polymorph in this dataset**: 0 meV per atom
! **M_tot**: 0.049 μB per atom
! **Raw formation energy**: -0.770 eV per atom

[8]
! NdSmTm2 (PBE, optimized geometry); values from VASP
&SYSTEM
  ibrav = 0, nat = 16, ntyp = 3
/
ATOMIC_SPECIES
Nd 144.24 Nd.upf
Sm 150.36 Sm.upf
Tm 168.93 Tm.upf
CELL_PARAMETERS angstrom
6.293 0.000 0.000
0.000 7.271 0.000
-0.011 0.000 11.399
ATOMIC_POSITIONS angstrom
Nd 1.037 1.807 4.310
Nd 1.031 5.464 10.010
Nd 5.250 1.807 1.389
Nd 5.245 5.464 7.089
Sm 2.093 3.633 1.428
Sm 2.088 3.637 7.127
Sm 4.194 3.633 4.272
Sm 4.188 3.637 9.971
Tm 1.052 1.781 9.947
Tm 1.057 5.489 4.248
Tm 2.101 7.270 1.428
Tm 2.095 0.000 7.128
Tm 4.187 7.270 4.271
Tm 4.181 0.000 9.971
Tm 5.224 1.781 7.151
Tm 5.230 5.489 1.452
! **Energy above the most stable polymorph in this dataset**: 0 meV per atom
! **M_tot**: 0.000 μB per atom
! **Calculated formation energy**: 0.018 eV/atom